# PbW PBE-GGA optimized geometry
data_PbW
_chemical_formula_sum 'Pb3 W3'
_cell_length_a 3.1304
_cell_length_b 3.1304
_cell_length_c 14.3096
_cell_angle_alpha 90.00
_cell_angle_beta 90.00
_cell_angle_gamma 120.00
_symmetry_space_group_name_H-M 'R -3 m'
_symmetry_Int_Tables_number 166
_symmetry_space_group_name_Hall '-R 3 2"'
loop_
_atom_site_label
_atom_site_fract_x
_atom_site_fract_y
_atom_site_fract_z
_atom_site_occupancy
Pb1 0.0000 0.0000 0.0000 1
W1 0.0000 0.0000 0.5000 1
# **Calculated formation energy**: 1250 meV/atom
# **N(E_F)**: 6.29 states/eV per cell
# **Raw total energy**: -42.48 eV for the cell shown
# **Offset from the most stable computed form**: 0.7562 eV/atom

# B5C7 PBE-GGA optimized geometry
data_B5C7
_chemical_formula_sum 'B10 C14'
_cell_length_a 12.1311
_cell_length_b 2.6445
_cell_length_c 5.3172
_cell_angle_alpha 90.00
_cell_angle_beta 103.18
_cell_angle_gamma 90.00
_symmetry_space_group_name_H-M 'C 1 m 1'
_symmetry_Int_Tables_number 8
_symmetry_space_group_name_Hall 'C -2y'
loop_
_atom_site_label
_atom_site_fract_x
_atom_site_fract_y
_atom_site_fract_z
_atom_site_occupancy
B1 0.0000 0.0000 0.0000 1
B2 0.0436 0.5000 0.5232 1
B3 0.1663 0.5000 0.9571 1
B4 0.3070 0.0000 0.7244 1
B5 0.3729 0.5000 0.3249 1
C1 0.0642 0.5000 0.0999 1
C2 0.1472 0.5000 0.3866 1
C3 0.2217 0.0000 0.4339 1
C4 0.2355 0.0000 0.9466 1
C5 0.3030 0.0000 0.2350 1
C6 0.3989 0.5000 0.7555 1
C7 0.4796 0.5000 0.5570 1
# **Calculated formation energy**: 340 meV/atom
# **N(E_F)**: 3.33 states/eV per cell
# **Raw total energy**: -187.74 eV for the cell shown
# **Offset from the most stable computed form**: 0.0825 eV/atom

# Na3Ho2TlO6 PBE-GGA optimized geometry
data_Na3Ho2TlO6
_chemical_formula_sum 'Na6 Ho4 Tl2 O12'
_cell_length_a 5.8851
_cell_length_b 10.1850
_cell_length_c 5.9589
_cell_angle_alpha 90.00
_cell_angle_beta 109.26
_cell_angle_gamma 90.00
_symmetry_space_group_name_H-M 'C 1 2/m 1'
_symmetry_Int_Tables_number 12
_symmetry_space_group_name_Hall '-C 2y'
loop_
_atom_site_label
_atom_site_fract_x
_atom_site_fract_y
_atom_site_fract_z
_atom_site_occupancy
Na1 0.0000 0.0000 0.0000 1
Na2 0.0000 0.3381 0.0000 1
Ho1 0.0000 0.1668 0.5000 1
Tl1 0.0000 0.5000 0.5000 1
O1 0.2300 0.0000 0.7187 1
O2 0.2438 0.3289 0.7176 1
# **N(E_F)**: 0.00 states/eV per cell
# **Raw total energy**: -143.75 eV for the cell shown
# **Energy relative to the elements, uncorrected**: -2220.6 meV/atom

# V2Ga2As PBE-GGA optimized geometry
data_V2Ga2As
_chemical_formula_sum 'V4 Ga4 As2'
_cell_length_a 6.2847
_cell_length_b 6.2847
_cell_length_c 3.9629
_cell_angle_alpha 90.00
_cell_angle_beta 90.00
_cell_angle_gamma 90.00
_symmetry_space_group_name_H-M 'P 4/m b m'
_symmetry_Int_Tables_number 127
_symmetry_space_group_name_Hall '-P 4 2ab'
loop_
_atom_site_label
_atom_site_fract_x
_atom_site_fract_y
_atom_site_fract_z
_atom_site_occupancy
V1 0.1432 0.3568 0.0000 1
Ga1 0.1552 0.6552 0.5000 1
As1 0.0000 0.0000 0.0000 1
# **Calculated formation energy**: -170 meV/atom
# **N(E_F)**: 7.32 states/eV per cell
# **Raw total energy**: -59.58 eV for the cell shown

# Mg2Ir PBE-GGA optimized geometry
data_Mg2Ir
_chemical_formula_sum 'Mg2 Ir1'
_cell_length_a 4.4099
_cell_length_b 4.4099
_cell_length_c 2.9328
_cell_angle_alpha 90.00
_cell_angle_beta 90.00
_cell_angle_gamma 120.00
_symmetry_space_group_name_H-M 'P -3 m 1'
_symmetry_Int_Tables_number 164
_symmetry_space_group_name_Hall '-P 3 2"'
loop_
_atom_site_label
_atom_site_fract_x
_atom_site_fract_y
_atom_site_fract_z
_atom_site_occupancy
Mg1 0.3333 0.6667 0.3247 1
Ir1 0.0000 0.0000 0.0000 1
# **Calculated formation energy**: -264 meV/atom
# **N(E_F)**: 2.37 states/eV per cell
# **Raw total energy**: -12.84 eV for the cell shown

# Ba2AlZnPt PBE-GGA optimized geometry
data_Ba2AlZnPt
_chemical_formula_sum 'Ba2 Al1 Zn1 Pt1'
_cell_length_a 6.2024
_cell_length_b 6.2024
_cell_length_c 4.8085
_cell_angle_alpha 90.00
_cell_angle_beta 90.00
_cell_angle_gamma 90.00
_symmetry_space_group_name_H-M 'P 4/m m m'
_symmetry_Int_Tables_number 123
_symmetry_space_group_name_Hall '-P 4 2'
loop_
_atom_site_label
_atom_site_fract_x
_atom_site_fract_y
_atom_site_fract_z
_atom_site_occupancy
Ba1 0.0000 0.5000 0.0000 1
Al1 0.0000 0.0000 0.5000 1
Zn1 0.5000 0.5000 0.5000 1
Pt1 0.0000 0.0000 0.0000 1
# **Calculated formation energy**: -363 meV/atom
# **N(E_F)**: 4.18 states/eV per cell
# **Raw total energy**: -16.72 eV for the cell shown

# Nd6HoTm PBE-GGA optimized geometry
data_Nd6HoTm
_chemical_formula_sum 'Nd6 Ho1 Tm1'
_cell_length_a 5.1414
_cell_length_b 5.1414
_cell_length_c 10.2850
_cell_angle_alpha 90.00
_cell_angle_beta 90.00
_cell_angle_gamma 90.00
_symmetry_space_group_name_H-M 'P 4/m m m'
_symmetry_Int_Tables_number 123
_symmetry_space_group_name_Hall '-P 4 2'
loop_
_atom_site_label
_atom_site_fract_x
_atom_site_fract_y
_atom_site_fract_z
_atom_site_occupancy
Nd1 0.0000 0.0000 0.0000 1
Nd2 0.0000 0.0000 0.5000 1
Nd3 0.0000 0.5000 0.2494 1
Ho1 0.5000 0.5000 0.5000 1
Tm1 0.5000 0.5000 0.0000 1
# **Calculated formation energy**: 15 meV/atom
# **N(E_F)**: 13.02 states/eV per cell
# **Raw total energy**: -37.54 eV for the cell shown
# **Offset from the most stable computed form**: 0.0000 eV/atom

no.,size of the total moment (μB/f.u.)
1,0.0
2,0.0
3,0.0
4,0.0
5,0.0
6,0.0
7,0.0